The following is a DFT calculation (PBE) of a geometry-optimized Pr3Ni2Sn3Pd structure.

Calculated values
Magnetic moment ... 0.00 μB/atom
Energy ... -5.431 eV/atom
Calculated density ... 8.26 g cm⁻³

Lattice parameters (Å, degrees): 7.4793 7.4793 4.1627 90.00 90.00 120.00
Last column: nearest neighbours and their distance in Å.
Atoms (fractional coordinates):
Pr  0.0000  0.5835  0.0000  4 Ni 3.06, 1 Pd 3.12, 6 Sn 3.21-3.43
Pr  0.4165  0.4165  0.0000  4 Ni 3.06, 1 Pd 3.12, 6 Sn 3.21-3.43
Pr  0.5835  0.0000  0.0000  4 Ni 3.06, 1 Pd 3.12, 6 Sn 3.21-3.43
Ni  0.3333  0.6667  0.5000  3 Sn 2.82, 6 Pr 3.06
Ni  0.6667  0.3333  0.5000  3 Sn 2.82, 6 Pr 3.06
Sn  0.0000  0.2568  0.5000  2 Ni 2.82, 2 Pd 2.83
Sn  0.2568  0.0000  0.5000  2 Ni 2.82, 2 Pd 2.83
Sn  0.7432  0.7432  0.5000  2 Ni 2.82, 2 Pd 2.83
Pd  0.0000  0.0000  0.0000  6 Sn 2.83, 3 Pr 3.12

=====

The following is a DFT calculation (PBE) of a geometry-optimized NiPd2Pt2 structure.

Calculated values
Magnetic moment ... 0.35 μB/atom
Energy ... -5.107 eV/atom
Distance to the lowest polymorph of the same formula ... 27.3 meV/atom
Calculated density ... 12.76 g cm⁻³

Lattice parameters (Å, degrees): 3.6211 3.6211 13.1364 90.00 90.00 90.00
Last column: nearest neighbours and their distance in Å.
Atoms (fractional coordinates):
Ni  0.0000  0.0000  0.0000  8 Pd 2.85
Ni  0.5000  0.5000  0.5000  8 Pd 2.85
Pd  0.0000  0.0000  0.4039  1 Pd 2.52, 4 Pt 2.71
Pd  0.0000  0.0000  0.5961  1 Pd 2.52, 4 Pt 2.71
Pd  0.5000  0.5000  0.0961  1 Pd 2.52, 4 Pt 2.71
Pd  0.5000  0.5000  0.9039  1 Pd 2.52, 4 Pt 2.71
Pt  0.0000  0.5000  0.2500  4 Pt 2.56, 4 Pd 2.71
Pt  0.0000  0.5000  0.7500  4 Pt 2.56, 4 Pd 2.71
Pt  0.5000  0.0000  0.2500  4 Pt 2.56, 4 Pd 2.71
Pt  0.5000  0.0000  0.7500  4 Pt 2.56, 4 Pd 2.71

=====

The following is a DFT calculation (PBE) of a geometry-optimized NiPd2Pt2 structure.

Calculated values
Magnetic moment ... 0.39 μB/atom
Energy ... -5.135 eV/atom
Distance to the lowest polymorph of the same formula ... 0.0 meV/atom
Calculated density ... 13.37 g cm⁻³

Lattice parameters (Å, degrees): 3.6186 3.6186 12.5561 90.00 90.00 90.00
Last column: nearest neighbours and their distance in Å.
Atoms (fractional coordinates):
Ni  0.0000  0.0000  0.0000  8 Pt 2.83
Ni  0.5000  0.5000  0.5000  8 Pt 2.83
Pd  0.0000  0.5000  0.2500  4 Pd 2.56, 4 Pt 2.64
Pd  0.0000  0.5000  0.7500  4 Pd 2.56, 4 Pt 2.64
Pd  0.5000  0.0000  0.2500  4 Pd 2.56, 4 Pt 2.64
Pd  0.5000  0.0000  0.7500  4 Pd 2.56, 4 Pt 2.64
Pt  0.0000  0.0000  0.4034  1 Pt 2.43, 4 Pd 2.64
Pt  0.0000  0.0000  0.5966  1 Pt 2.43, 4 Pd 2.64
Pt  0.5000  0.5000  0.0966  1 Pt 2.43, 4 Pd 2.64
Pt  0.5000  0.5000  0.9034  1 Pt 2.43, 4 Pd 2.64

=====

The following is a DFT calculation (PBE) of a geometry-optimized NiPdPt2 structure.

Calculated values
Magnetic moment ... 0.08 μB/atom
Energy ... -5.644 eV/atom
Calculated density ... 15.72 g cm⁻³

Lattice parameters (Å, degrees): 6.1673 6.1673 6.1673 90.00 90.00 90.00
Last column: nearest neighbours and their distance in Å.
Atoms (fractional coordinates):
Ni  0.0000  0.0000  0.0000  4 Pd 2.67, 4 Pt 2.67
Ni  0.0000  0.5000  0.5000  4 Pd 2.67, 4 Pt 2.67
Ni  0.5000  0.0000  0.5000  4 Pd 2.67, 4 Pt 2.67
Ni  0.5000  0.5000  0.0000  4 Pd 2.67, 4 Pt 2.67
Pd  0.2500  0.2500  0.7500  4 Ni 2.67, 4 Pt 2.67
Pd  0.2500  0.7500  0.2500  4 Ni 2.67, 4 Pt 2.67
Pd  0.7500  0.2500  0.2500  4 Ni 2.67, 4 Pt 2.67
Pd  0.7500  0.7500  0.7500  4 Ni 2.67, 4 Pt 2.67
Pt  0.0000  0.0000  0.5000  4 Pt 2.67, 4 Pd 2.67
Pt  0.0000  0.5000  0.0000  4 Pd 2.67, 4 Pt 2.67
Pt  0.2500  0.2500  0.2500  4 Ni 2.67, 4 Pt 2.67
Pt  0.2500  0.7500  0.7500  4 Ni 2.67, 4 Pt 2.67
Pt  0.5000  0.0000  0.0000  4 Pd 2.67, 4 Pt 2.67
Pt  0.5000  0.5000  0.5000  4 Pd 2.67, 4 Pt 2.67
Pt  0.7500  0.2500  0.7500  4 Ni 2.67, 4 Pt 2.67
Pt  0.7500  0.7500  0.2500  4 Ni 2.67, 4 Pt 2.67